Entry 1:
Below is Sm5SnSe5 after structural relaxation, with properties calculated at the PBE level.

It has space group C2/m (No. 12), with a = 13.3596 Å, b = 5.9842 Å, c = 8.4806 Å, α = 90.00°, β = 108.26° and γ = 90.00°. Symmetry generates all atoms from Sm at (0.0000, 0.0000, 0.0000), Sm at (0.1648, 0.5000, 0.8223), Sm at (0.1676, 0.5000, 0.3409), Sn at (0.0000, 0.5000, 0.0000), Se at (0.0000, 0.5000, 0.5000), Se at (0.1659, 0.0000, 0.3346) and Se at (0.1713, 0.0000, 0.8391).

The uncorrected formation energy is -1.6624 eV per atom. The value obtained for the total energy is -5.755 eV/atom. For the mass density, the calculation gives 6.53 g cm⁻³.



Entry 2:
Below is Tb3PrNd2Tm6 after structural relaxation, with properties calculated at the PBE level.

It has space group C2/m (No. 12), with a = 6.1756 Å, b = 10.6911 Å, c = 11.6926 Å, α = 90.00°, β = 100.11° and γ = 90.00°. Symmetry generates all atoms from Tb at (0.0000, 0.0000, 0.0000), Tb at (0.0000, 0.3333, 0.0000), Pr at (0.0000, 0.5000, 0.5000), Nd at (0.0000, 0.1667, 0.5000), Tm at (0.2485, 0.1667, 0.2467) and Tm at (0.2487, 0.5000, 0.2468).

The formation energy comes out at 21.0 meV per atom. The value obtained for the total energy is -4.565 eV/atom. For the mass density, the calculation gives 8.39 g cm⁻³.



Entry 3:
Below is MnCoIr2 after structural relaxation, with properties calculated at the PBE level.

It has space group R3m (No. 160, hexagonal axes), with a = 2.7134 Å, b = 2.7134 Å, c = 25.1492 Å, α = 90.00°, β = 90.00° and γ = 120.00°. Symmetry generates all atoms from Mn at (0.0000, 0.0000, 0.0000), Co at (0.0000, 0.0000, 0.7437), Ir at (0.0000, 0.0000, 0.2505) and Ir at (0.0000, 0.0000, 0.4929).

The formation energy comes out at 66.2 meV per atom. The value obtained for the total energy is -8.433 eV/atom. For the mass density, the calculation gives 15.48 g cm⁻³.



Entry 4:
Below is TbCeAl4 after structural relaxation, with properties calculated at the PBE level.

It has space group F-43m (No. 216), with a = 7.9254 Å, b = 7.9254 Å, c = 7.9254 Å, α = 90.00°, β = 90.00° and γ = 90.00°. Symmetry generates all atoms from Tb at (0.0000, 0.0000, 0.0000), Ce at (0.2500, 0.2500, 0.2500) and Al at (0.1245, 0.1245, 0.6245).

The formation energy comes out at -465.5 meV per atom. The value obtained for the total energy is -4.721 eV/atom. For the mass density, the calculation gives 5.43 g cm⁻³.



Entry 5:
Below is Ac5Hg2N after structural relaxation, with properties calculated at the PBE level.

It has space group C2/c (No. 15), with a = 17.6747 Å, b = 6.9421 Å, c = 10.1786 Å, α = 90.00°, β = 121.95° and γ = 90.00°. Symmetry generates all atoms from Ac at (0.0000, 0.1457, 0.2500), Ac at (0.0713, 0.3208, 0.6606), Ac at (0.1668, 0.1385, 0.1057), Hg at (0.1919, 0.4111, 0.4960) and N at (0.0000, 0.0000, 0.0000).

The uncorrected formation energy is -0.4366 eV per atom. The value obtained for the total energy is -4.121 eV/atom. For the mass density, the calculation gives 9.72 g cm⁻³.



Entry 6:
Below is Ti2GePt after structural relaxation, with properties calculated at the PBE level.

It has space group I-42d (No. 122), with a = 7.0538 Å, b = 7.0538 Å, c = 5.5589 Å, α = 90.00°, β = 90.00° and γ = 90.00°. Symmetry generates all atoms from Ti at (0.2437, 0.2500, 0.1250), Ge at (0.0000, 0.0000, 0.5000) and Pt at (0.0000, 0.0000, 0.0000).

The formation energy comes out at -346.1 meV per atom. The value obtained for the total energy is -6.958 eV/atom. For the mass density, the calculation gives 8.73 g cm⁻³.



Entry 7:
Below is AcB4Ru4 after structural relaxation, with properties calculated at the PBE level.

It has space group P4_2/nmc (No. 137, origin choice 2), with a = 5.4839 Å, b = 5.4839 Å, c = 7.4868 Å, α = 90.00°, β = 90.00° and γ = 90.00°. Symmetry generates all atoms from Ac at (0.2500, 0.7500, 0.2500), B at (0.0778, 0.2500, 0.0993) and Ru at (0.0069, 0.7500, 0.6137).

The formation energy comes out at -330.0 meV per atom. The excess energy over the best structure of this formula in the dataset is 96 meV per atom. The value obtained for the total energy is -7.877 eV/atom. For the mass density, the calculation gives 9.95 g cm⁻³.



Entry 8:
Below is TbSc2In after structural relaxation, with properties calculated at the PBE level.

It has space group P4/mmm (No. 123), with a = 3.4256 Å, b = 3.4256 Å, c = 8.6551 Å, α = 90.00°, β = 90.00° and γ = 90.00°. Symmetry generates all atoms from Tb at (0.0000, 0.0000, 0.0000), Sc at (0.5000, 0.5000, 0.2745) and In at (0.0000, 0.0000, 0.5000).

The formation energy comes out at -216.7 meV per atom. The excess energy over the best structure of this formula in the dataset is 48 meV per atom. The value obtained for the total energy is -5.225 eV/atom. For the mass density, the calculation gives 5.95 g cm⁻³.



Entry 9:
Below is ZnCr2Rh2 after structural relaxation, with properties calculated at the PBE level.

It has space group I4/mmm (No. 139), with a = 3.1698 Å, b = 3.1698 Å, c = 13.8511 Å, α = 90.00°, β = 90.00° and γ = 90.00°. Symmetry generates all atoms from Zn at (0.0000, 0.0000, 0.0000), Cr at (0.0000, 0.5000, 0.2500) and Rh at (0.0000, 0.0000, 0.3972).

The formation energy comes out at 125.4 meV per atom. The excess energy over the best structure of this formula in the dataset is 55 meV per atom. The value obtained for the total energy is -6.919 eV/atom. For the mass density, the calculation gives 8.95 g cm⁻³.



Entry 10:
Below is KAs2Se after structural relaxation, with properties calculated at the PBE level.

It has space group P4/mmm (No. 123), with a = 3.3554 Å, b = 3.3554 Å, c = 8.5724 Å, α = 90.00°, β = 90.00° and γ = 90.00°. Symmetry generates all atoms from K at (0.0000, 0.0000, 0.0000), As at (0.5000, 0.5000, 0.3037) and Se at (0.0000, 0.0000, 0.5000).

The uncorrected formation energy is 0.3030 eV per atom. The value obtained for the total energy is -3.167 eV/atom. For the mass density, the calculation gives 4.61 g cm⁻³.



Entry 11:
Below is PrErBiTe after structural relaxation, with properties calculated at the PBE level.

It has space group R3m (No. 160, hexagonal axes), with a = 4.4356 Å, b = 4.4356 Å, c = 25.8326 Å, α = 90.00°, β = 90.00° and γ = 120.00°. Symmetry generates all atoms from Pr at (0.0000, 0.0000, 0.0000), Er at (0.0000, 0.0000, 0.4780), Bi at (0.0000, 0.0000, 0.7377) and Te at (0.0000, 0.0000, 0.8789).

The uncorrected formation energy is -0.8353 eV per atom. The value obtained for the total energy is -4.927 eV/atom. For the mass density, the calculation gives 7.30 g cm⁻³.



Entry 12:
Below is CuBIr3 after structural relaxation, with properties calculated at the PBE level.

It has space group Pm-3m (No. 221), with a = 4.0801 Å, b = 4.0801 Å, c = 4.0801 Å, α = 90.00°, β = 90.00° and γ = 90.00°. Symmetry generates all atoms from Cu at (0.0000, 0.0000, 0.0000), B at (0.5000, 0.5000, 0.5000) and Ir at (0.0000, 0.5000, 0.5000).

The formation energy comes out at 242.7 meV per atom. The excess energy over the best structure of this formula in the dataset is 0 meV per atom. The value obtained for the total energy is -7.229 eV/atom. For the mass density, the calculation gives 15.92 g cm⁻³.



Entry 13:
Below is SnPd after structural relaxation, with properties calculated at the PBE level.

It has space group C2/m (No. 12), with a = 13.5751 Å, b = 4.3033 Å, c = 8.1667 Å, α = 90.00°, β = 123.74° and γ = 90.00°. Symmetry generates all atoms from Sn at (0.0000, 0.0000, 0.0000), Sn at (0.1335, 0.0000, 0.7456), Sn at (0.1412, 0.5000, 0.3476), Pd at (0.0000, 0.5000, 0.5000), Pd at (0.1173, 0.5000, 0.9382) and Pd at (0.2350, 0.0000, 0.2480).

The formation energy comes out at -468.0 meV per atom. The value obtained for the total energy is -5.066 eV/atom. For the mass density, the calculation gives 9.42 g cm⁻³.



Entry 14:
Below is Ce5HoPb4 after structural relaxation, with properties calculated at the PBE level.

It has space group C2/m (No. 12), with a = 16.3824 Å, b = 4.8011 Å, c = 8.1779 Å, α = 90.00°, β = 108.68° and γ = 90.00°. Symmetry generates all atoms from Ce at (0.0000, 0.0000, 0.0000), Ce at (0.1270, 0.5000, 0.9549), Ce at (0.2258, 0.0000, 0.3798), Ho at (0.0000, 0.0000, 0.5000), Pb at (0.0717, 0.5000, 0.3125) and Pb at (0.1831, 0.0000, 0.7664).

The formation energy comes out at -309.6 meV per atom. The value obtained for the total energy is -5.218 eV/atom. For the mass density, the calculation gives 9.23 g cm⁻³.



Entry 15:
Below is La5Mg after structural relaxation, with properties calculated at the PBE level.

It has space group P6/mmm (No. 191), with a = 6.5950 Å, b = 6.5950 Å, c = 5.9683 Å, α = 90.00°, β = 90.00° and γ = 120.00°. Symmetry generates all atoms from La at (0.0000, 0.5000, 0.0000), La at (0.3333, 0.6667, 0.5000) and Mg at (0.0000, 0.0000, 0.5000).

The formation energy comes out at 371.2 meV per atom. The excess energy over the best structure of this formula in the dataset is 403 meV per atom. The value obtained for the total energy is -4.001 eV/atom. For the mass density, the calculation gives 5.31 g cm⁻³.



Entry 16:
Below is Cu3TcRh after structural relaxation, with properties calculated at the PBE level.

It has space group Pm-3m (No. 221), with a = 4.5591 Å, b = 4.5591 Å, c = 4.5591 Å, α = 90.00°, β = 90.00° and γ = 90.00°. Symmetry generates all atoms from Cu at (0.0000, 0.0000, 0.5000), Tc at (0.5000, 0.5000, 0.5000) and Rh at (0.0000, 0.0000, 0.0000).

The formation energy comes out at 1470.3 meV per atom. The excess energy over the best structure of this formula in the dataset is 0 meV per atom. The value obtained for the total energy is -4.531 eV/atom. For the mass density, the calculation gives 6.86 g cm⁻³.



Entry 17:
Below is LiAcIr2 after structural relaxation, with properties calculated at the PBE level.

It has space group P4/mmm (No. 123), with a = 4.2452 Å, b = 4.2452 Å, c = 4.2439 Å, α = 90.00°, β = 90.00° and γ = 90.00°. Symmetry generates all atoms from Li at (0.0000, 0.0000, 0.0000), Ac at (0.5000, 0.5000, 0.0000) and Ir at (0.0000, 0.5000, 0.5000).

The formation energy comes out at -99.1 meV per atom. The value obtained for the total energy is -6.035 eV/atom. For the mass density, the calculation gives 13.43 g cm⁻³.



Entry 18:
Below is CaZnP2 after structural relaxation, with properties calculated at the PBE level.

It has space group Immm (No. 71), with a = 4.6251 Å, b = 5.7571 Å, c = 6.0736 Å, α = 90.00°, β = 90.00° and γ = 90.00°. Symmetry generates all atoms from Ca at (0.0000, 0.0000, 0.0000), Zn at (0.0000, 0.0000, 0.5000) and P at (0.0000, 0.5000, 0.1811).

The formation energy comes out at -357.0 meV per atom. The value obtained for the total energy is -3.881 eV/atom. For the mass density, the calculation gives 3.44 g cm⁻³.



Entry 19:
Below is BaCrTe2 after structural relaxation, with properties calculated at the PBE level.

It has space group I-4m2 (No. 119), with a = 4.6593 Å, b = 4.6593 Å, c = 11.8561 Å, α = 90.00°, β = 90.00° and γ = 90.00°. Symmetry generates all atoms from Ba at (0.0000, 0.0000, 0.0000), Cr at (0.0000, 0.5000, 0.7500), Te at (0.0000, 0.0000, 0.5000) and Te at (0.0000, 0.5000, 0.2500).

The uncorrected formation energy is -0.3341 eV per atom. The value obtained for the total energy is -4.791 eV/atom. For the mass density, the calculation gives 5.74 g cm⁻³.



Entry 20:
Below is Tb3Al8Pt3 after structural relaxation, with properties calculated at the PBE level.

It has space group C2/m (No. 12), with a = 15.7270 Å, b = 4.3953 Å, c = 9.2314 Å, α = 90.00°, β = 125.58° and γ = 90.00°. Symmetry generates all atoms from Tb at (0.0000, 0.0000, 0.0000), Tb at (0.2136, 0.5000, 0.7060), Al at (0.0050, 0.5000, 0.6727), Al at (0.1346, 0.0000, 0.4253), Al at (0.1516, 0.0000, 0.8671), Al at (0.1522, 0.5000, 0.2843), Pt at (0.0000, 0.0000, 0.5000) and Pt at (0.1475, 0.5000, 0.0048).

The formation energy comes out at -859.6 meV per atom. The value obtained for the total energy is -5.285 eV/atom. For the mass density, the calculation gives 8.18 g cm⁻³.



Entry 21:
Below is NaYCd17 after structural relaxation, with properties calculated at the PBE level.

It has space group R3m (No. 160, hexagonal axes), with a = 10.1142 Å, b = 10.1142 Å, c = 15.1509 Å, α = 90.00°, β = 90.00° and γ = 120.00°. Symmetry generates all atoms from Na at (0.0000, 0.0000, 0.0000), Y at (0.0000, 0.0000, 0.6654), Cd at (0.0000, 0.0000, 0.2483), Cd at (0.0000, 0.0000, 0.4429), Cd at (0.0010, 0.3034, 0.3376), Cd at (0.0223, 0.5112, 0.1937), Cd at (0.0313, 0.5156, 0.8318) and Cd at (0.0586, 0.5293, 0.4887).

The formation energy comes out at -70.5 meV per atom. The value obtained for the total energy is -1.299 eV/atom. For the mass density, the calculation gives 7.51 g cm⁻³.



Entry 22:
Below is YTaIr2 after structural relaxation, with properties calculated at the PBE level.

It has space group Cm (No. 8), with a = 10.0975 Å, b = 3.0026 Å, c = 4.8952 Å, α = 90.00°, β = 100.24° and γ = 90.00°. Symmetry generates all atoms from Y at (0.0000, 0.0000, 0.0000), Ta at (0.2816, 0.5000, 0.3667), Ir at (0.0138, 0.5000, 0.5016) and Ir at (0.2473, 0.0000, 0.8222).

The formation energy comes out at -379.7 meV per atom. The value obtained for the total energy is -9.389 eV/atom. For the mass density, the calculation gives 14.88 g cm⁻³.



Entry 23:
Below is LaPrAgHg after structural relaxation, with properties calculated at the PBE level.

It has space group P4mm (No. 99), with a = 3.8447 Å, b = 3.8447 Å, c = 7.7066 Å, α = 90.00°, β = 90.00° and γ = 90.00°. Symmetry generates all atoms from La at (0.0000, 0.0000, 0.0000), Pr at (0.0000, 0.0000, 0.4887), Ag at (0.5000, 0.5000, 0.2510) and Hg at (0.5000, 0.5000, 0.7401).

The formation energy comes out at -366.5 meV per atom. The excess energy over the best structure of this formula in the dataset is 3 meV per atom. The value obtained for the total energy is -3.581 eV/atom. For the mass density, the calculation gives 8.58 g cm⁻³.



Entry 24:
Below is MgSb2MoI after structural relaxation, with properties calculated at the PBE level.

It has space group P4/mmm (No. 123), with a = 5.3584 Å, b = 5.3584 Å, c = 5.6143 Å, α = 90.00°, β = 90.00° and γ = 90.00°. Symmetry generates all atoms from Mg at (0.0000, 0.0000, 0.0000), Sb at (0.0000, 0.5000, 0.0000), Mo at (0.5000, 0.5000, 0.5000) and I at (0.0000, 0.0000, 0.5000).

The excess energy over the best structure of this formula in the dataset is 641 meV per atom. The uncorrected formation energy is 1.0793 eV per atom. The value obtained for the total energy is -3.365 eV/atom. For the mass density, the calculation gives 5.05 g cm⁻³.



Entry 25:
Below is CsZrAl2Cu after structural relaxation, with properties calculated at the PBE level.

It has space group P4/mmm (No. 123), with a = 5.5793 Å, b = 5.5793 Å, c = 5.3504 Å, α = 90.00°, β = 90.00° and γ = 90.00°. Symmetry generates all atoms from Cs at (0.0000, 0.0000, 0.0000), Zr at (0.0000, 0.0000, 0.5000), Al at (0.0000, 0.5000, 0.0000) and Cu at (0.5000, 0.5000, 0.5000).

The formation energy comes out at 2263.2 meV per atom. The value obtained for the total energy is -1.933 eV/atom. For the mass density, the calculation gives 3.41 g cm⁻³.